! Mo2SeBr (PBE-GGA, relaxed); values from VASP
! polymorph energy (0 for the lowest one): 0.867 eV per atom
! formation energy without anion corrections: 3.5 eV/f.u.
! energy: -5.83 eV per atom
&SYSTEM
  ibrav = 0, nat = 8, ntyp = 3
/
ATOMIC_SPECIES
Mo 95.94 Mo.upf
Se 78.96 Se.upf
Br 79.90 Br.upf
ATOMIC_POSITIONS crystal
Mo 0.8750 0.8705 0.7500
Mo 0.3750 0.3795 0.7500
Mo 0.6205 0.1250 0.2500
Mo 0.1295 0.6250 0.2500
Se 0.2500 0.7500 0.5000
Se 0.5000 0.5000 0.0000
Br 0.7500 0.2500 0.5000
Br 0.0000 0.0000 0.0000
CELL_PARAMETERS angstrom
5.9243 0.0000 0.0000
0.0000 5.9243 0.0000
2.9621 2.9621 5.1484


! Mo2SeBr (PBE-GGA, relaxed); values from VASP
! polymorph energy (0 for the lowest one): 0.578 eV per atom
! formation energy without anion corrections: 2.3 eV/f.u.
! energy: -6.12 eV per atom
&SYSTEM
  ibrav = 0, nat = 4, ntyp = 3
/
ATOMIC_SPECIES
Mo 95.94 Mo.upf
Se 78.96 Se.upf
Br 79.90 Br.upf
ATOMIC_POSITIONS crystal
Mo 0.0000 0.5000 0.5000
Mo 0.0000 0.0000 0.0000
Se 0.5000 0.5000 0.0000
Br 0.5000 0.0000 0.5000
CELL_PARAMETERS angstrom
-0.9188 -0.7313 -2.9780
2.1060 -3.9517 0.3206
-3.7494 -1.8672 1.6153


! Mo2SeBr (PBE-GGA, relaxed); values from VASP
! polymorph energy (0 for the lowest one): 0.048 eV per atom
! formation energy without anion corrections: 0.2 eV/f.u.
! energy: -6.65 eV per atom
&SYSTEM
  ibrav = 0, nat = 4, ntyp = 3
/
ATOMIC_SPECIES
Mo 95.94 Mo.upf
Br 79.90 Br.upf
Se 78.96 Se.upf
ATOMIC_POSITIONS crystal
Mo 0.5000 0.3656 0.1389
Mo 0.0000 0.9080 0.1258
Br 0.5000 0.8007 0.8394
Se 0.0000 0.4257 0.3958
CELL_PARAMETERS angstrom
-2.4660 2.1552 0.1075
-1.8990 -2.3233 3.0171
2.8855 3.0123 5.7996


! Mo2SeBr (PBE-GGA, relaxed); values from VASP
! polymorph energy (0 for the lowest one): 0.566 eV per atom
! formation energy without anion corrections: 2.3 eV/f.u.
! energy: -6.13 eV per atom
&SYSTEM
  ibrav = 0, nat = 4, ntyp = 3
/
ATOMIC_SPECIES
Br 79.90 Br.upf
Mo 95.94 Mo.upf
Se 78.96 Se.upf
ATOMIC_POSITIONS crystal
Br 0.5000 0.5000 0.5000
Mo 0.2500 0.2500 0.2500
Mo 0.7500 0.7500 0.7500
Se 0.0000 0.0000 0.0000
CELL_PARAMETERS angstrom
0.0000 3.1851 3.1851
3.1851 0.0000 3.1851
3.1851 3.1851 0.0000


! Mo2SeBr (PBE-GGA, relaxed); values from VASP
! polymorph energy (0 for the lowest one): 0.000 eV per atom
! formation energy without anion corrections: 0.0 eV/f.u.
! energy: -6.70 eV per atom
&SYSTEM
  ibrav = 0, nat = 4, ntyp = 3
/
ATOMIC_SPECIES
Mo 95.94 Mo.upf
Br 79.90 Br.upf
Se 78.96 Se.upf
ATOMIC_POSITIONS crystal
Mo 0.0037 0.0037 0.0037
Mo 0.7487 0.7487 0.7487
Br 0.2736 0.2736 0.2736
Se 0.4739 0.4739 0.4739
CELL_PARAMETERS angstrom
10.1062 0.0519 0.0305
9.6122 3.1214 0.0305
9.6122 1.5469 2.7113


! MoSeBr (PBE-GGA, relaxed); values from VASP
! formation energy without anion corrections: -1.0 eV/f.u.
! energy: -5.66 eV per atom
&SYSTEM
  ibrav = 0, nat = 6, ntyp = 3
/
ATOMIC_SPECIES
Br 79.90 Br.upf
Se 78.96 Se.upf
Mo 95.94 Mo.upf
ATOMIC_POSITIONS crystal
Br 0.9558 0.1220 0.8166
Br 0.9556 0.7839 0.3166
Se 0.4558 0.3354 0.3167
Se 0.4557 0.5705 0.8167
Mo 0.9558 0.3746 0.8167
Mo 0.9557 0.5313 0.3167
CELL_PARAMETERS angstrom
-1.9478 1.3653 2.4740
1.4311 -8.0145 5.5512
3.6216 1.8967 1.8046